14
Lattice="-2.662 1.608 -4.776 -4.448 -3.481 1.307 -1.690 4.469 6.148" Properties=species:S:1:pos:R:3 comment="ScTiTlO4 PBE optimized geometry" sg="No. 11" formation_energy_uncorrected_mev_per_atom=-2606 vol_a3_per_cell=236.0 magmom_total_mub_per_cell=0.00 e_tot_ry_per_atom=-0.574 pbc="T T T"
O -5.026 -1.817 3.242
O -3.110 1.811 0.671
O -3.846 3.483 2.616
O -3.775 4.413 -0.562
O -5.691 0.785 2.009
O -5.816 2.817 0.037
O -2.985 -0.221 2.643
O -4.955 -0.887 0.064
Ti -4.626 -0.631 1.864
Ti -4.175 3.227 0.816
Tl -2.158 0.018 -0.866
Tl -6.643 2.577 3.546
Sc -6.304 0.775 -0.100
Sc -2.497 1.821 2.780